## Sc2AgB (PBE-GGA)

Data for crystalline Sc2AgB at its relaxed geometry.

Calculated values
The calculation puts the total energy at -19.98 eV for the cell shown.

Geometry as POSCAR:
```
Sc2AgB
1.0
3.7405 -2.3067 1.0669
2.5656 1.3354 3.4764
0.1332 -2.4641 3.7896
Sc B Ag
2 1 1
Cartesian
0.0000 0.0000 0.0000 Sc
4.8295 -2.5766 6.2496 Sc
3.2197 -1.7177 4.1664 B
1.6099 -0.8589 2.0832 Ag
```

## ScAgB (PBE-GGA)

Data for crystalline ScAgB at its relaxed geometry.

Calculated values
The calculation puts the excess energy over the best structure of this formula in the dataset at 227 meV per atom.

Geometry as POSCAR:
```
ScAgB
1.0
0.0000 3.0178 3.0178
3.0178 0.0000 3.0178
3.0178 3.0178 0.0000
B Sc Ag
1 1 1
Cartesian
4.5266 4.5266 4.5266 B
0.0000 0.0000 0.0000 Sc
1.5089 1.5089 1.5089 Ag
```